FeB2O: relaxed, GGA+U.

Summary:
M_tot = 4.0 μB per cell
E_tot = -5.5024 eV per atom

Cell lengths 4.6558, 4.6558, 4.5604 Å; angles 59.31, 59.31, 90.00 degrees
Closest atoms and distances in Å follow each position.
Positions (direct):
O: 0.5000 0.5000 0.0000  4 B 1.62
O: 0.2500 0.7500 0.5000  4 B 1.62
B: 0.5495 0.1250 0.2500  2 O 1.62
B: 0.3750 0.4505 0.7500  2 O 1.62
B: 0.8750 0.7995 0.7500  2 O 1.62
B: 0.2005 0.6250 0.2500  2 O 1.62
Fe: 0.0000 0.0000 0.0000  4 B 2.07
Fe: 0.7500 0.2500 0.5000  4 B 2.07

=====

FeB6O6: relaxed, GGA+U.

Summary:
M_tot = 4.0 μB per cell
E_tot = -7.1790 eV per atom

Cell lengths 4.9514, 4.9514, 7.4819 Å; angles 62.24, 62.24, 67.98 degrees
Closest atoms and distances in Å follow each position.
Positions (direct):
B: 0.3296 0.9950 0.1080  2 O 1.50-1.56
B: 0.0050 0.6704 0.8920  2 O 1.50-1.56
B: 0.6704 0.0050 0.8920  2 O 1.50-1.56
B: 0.3894 0.3894 0.2448  3 O 1.36-1.45
B: 0.6106 0.6106 0.7552  3 O 1.36-1.45
B: 0.9950 0.3296 0.1080  2 O 1.50-1.56
O: 0.7596 0.3174 0.7527  2 B 1.36-1.50
O: 0.2404 0.6826 0.2473  2 B 1.36-1.50
O: 0.2215 0.2215 0.2295  3 B 1.45-1.56
O: 0.3174 0.7596 0.7527  2 B 1.36-1.50
O: 0.6826 0.2404 0.2473  2 B 1.36-1.50
O: 0.7785 0.7785 0.7705  3 B 1.45-1.56
Fe: 0.0000 0.0000 0.0000  4 B 2.12, 4 O 2.29

=====

FeBPO2: relaxed, GGA+U.

Summary:
M_tot = 4.2 μB per cell
E_tot = -5.5170 eV per atom

Cell lengths 3.1450, 3.1450, 6.8319 Å; angles 90.00, 90.00, 90.00 degrees
Closest atoms and distances in Å follow each position.
Positions (direct):
Fe: 0.5000 0.5000 0.5000  4 P 2.22
P: 0.0000 0.0000 0.5000  4 Fe 2.22
O: 0.0000 0.5000 0.0000  2 B 1.57
O: 0.5000 0.0000 0.0000  2 B 1.57
B: 0.0000 0.0000 0.0000  4 O 1.57

=====

FeBPO2: relaxed, GGA+U.

Summary:
M_tot = 4.0 μB per cell
E_tot = -5.0309 eV per atom

Cell lengths 3.5403, 3.5403, 5.3285 Å; angles 90.00, 90.00, 90.00 degrees
Closest atoms and distances in Å follow each position.
Positions (direct):
B: 0.5000 0.5000 0.5000  4 P 2.50
O: 0.5000 0.0000 0.0000  2 Fe 1.77
O: 0.0000 0.5000 0.0000  2 Fe 1.77
Fe: 0.0000 0.0000 0.0000  4 O 1.77
P: 0.0000 0.0000 0.5000  4 B 2.50, 2 Fe 2.66

=====

FeBP2O: relaxed, GGA+U.

Summary:
M_tot = 2.2 μB per cell
E_tot = -4.4853 eV per atom

Cell lengths 4.6041, 4.6041, 3.4707 Å; angles 90.00, 90.00, 90.00 degrees
Closest atoms and distances in Å follow each position.
Positions (direct):
O: 0.0000 0.0000 0.5000  2 Fe 1.74
B: 0.5000 0.5000 0.5000  8 P 2.88
Fe: 0.0000 0.0000 0.0000  2 O 1.74
P: 0.0000 0.5000 0.0000  2 Fe 2.30
P: 0.5000 0.0000 0.0000  2 Fe 2.30

=====

FeBP2O: relaxed, GGA+U.

Summary:
M_tot = 3.7 μB per cell
E_tot = -5.4638 eV per atom

Cell lengths 5.1617, 5.1617, 2.5990 Å; angles 90.00, 90.00, 90.00 degrees
Closest atoms and distances in Å follow each position.
Positions (direct):
P: 0.0000 0.5000 0.0000  2 B 2.58, 2 P 2.60, 4 O 2.89, 4 Fe 2.89
P: 0.5000 0.0000 0.0000  2 B 2.58, 2 P 2.60, 4 O 2.89, 4 Fe 2.89
O: 0.0000 0.0000 0.5000  2 B 1.30
B: 0.0000 0.0000 0.0000  2 O 1.30
Fe: 0.5000 0.5000 0.5000  2 Fe 2.60, 8 P 2.89

=====

PaFeBO5: relaxed, GGA+U.

Summary:
M_tot = 8.0 μB per cell
E_tot = -8.4030 eV per atom

Cell lengths 5.4768, 5.4768, 7.9794 Å; angles 106.62, 106.62, 97.69 degrees
Closest atoms and distances in Å follow each position.
Positions (direct):
B: 0.3305 0.6695 0.7500  4 O 1.48-1.51
B: 0.6695 0.3305 0.2500  4 O 1.48-1.51
O: 0.8457 0.2995 0.1386  1 B 1.48
O: 0.1543 0.7005 0.8614  1 B 1.48
O: 0.7005 0.1543 0.3614  1 B 1.48
O: 0.7206 0.6110 0.3740  1 B 1.51
O: 0.6110 0.7206 0.8740  1 B 1.51
O: 0.8811 0.1189 0.7500  1 Fe 1.94
O: 0.3890 0.2794 0.1260  1 B 1.51
O: 0.1189 0.8811 0.2500  1 Fe 1.94
O: 0.2995 0.8457 0.6386  1 B 1.48
O: 0.2794 0.3890 0.6260  1 B 1.51
Fe: 0.3536 0.6464 0.2500  3 O 1.94-2.03
Fe: 0.6464 0.3536 0.7500  3 O 1.94-2.03
Pa: 0.0000 0.0000 0.5000  6 O 2.12-2.22
Pa: 0.0000 0.0000 0.0000  6 O 2.12-2.22

=====

PaFe3B4O12: relaxed, GGA+U.

Summary:
M_tot = 13.0 μB per cell
E_tot = -7.8336 eV per atom

Cell lengths 6.1712, 6.1712, 6.1712 Å; angles 103.12, 103.12, 103.12 degrees
Closest atoms and distances in Å follow each position.
Positions (direct):
O: 0.3571 0.6429 0.5000  1 B 1.38
O: 0.5000 0.3571 0.6429  1 B 1.38
O: 0.6464 0.8083 0.0373  1 B 1.40
O: 0.5000 0.0908 0.9092  1 B 1.36
O: 0.1917 0.3536 0.9627  1 B 1.40
O: 0.8083 0.0373 0.6464  1 B 1.40
O: 0.0373 0.6464 0.8083  1 B 1.40
O: 0.9627 0.1917 0.3536  1 B 1.40
O: 0.3536 0.9627 0.1917  1 B 1.40
O: 0.9092 0.5000 0.0908  1 B 1.36
O: 0.0908 0.9092 0.5000  1 B 1.36
O: 0.6429 0.5000 0.3571  1 B 1.38
B: 0.0495 0.5000 0.9505  3 O 1.36-1.40
B: 0.5000 0.5000 0.5000  3 O 1.38
B: 0.9505 0.0495 0.5000  3 O 1.36-1.40
B: 0.5000 0.9505 0.0495  3 O 1.36-1.40
Fe: 0.4456 0.0000 0.5544  6 O 2.06-2.12
Fe: 0.0000 0.5544 0.4456  6 O 2.06-2.12
Fe: 0.5544 0.4456 0.0000  6 O 2.06-2.12
Pa: 0.0000 0.0000 0.0000  6 O 2.32

=====

Fe2B2PbO6: relaxed, GGA+U.

Summary:
M_tot = 8.0 μB per cell
E_tot = -7.0971 eV per atom

Cell lengths 5.2186, 5.2340, 6.5110 Å; angles 106.91, 91.80, 60.39 degrees
Closest atoms and distances in Å follow each position.
Positions (direct):
B: 0.8457 0.2390 0.2313  3 O 1.38-1.41
B: 0.1543 0.7610 0.7687  3 O 1.38-1.41
O: 0.1358 0.5271 0.8216  1 B 1.41
O: 0.5698 0.2657 0.2520  1 B 1.38
O: 0.9038 0.0063 0.7351  1 B 1.38
O: 0.8642 0.4729 0.1784  1 B 1.41
O: 0.4302 0.7343 0.7480  1 B 1.38
O: 0.0962 0.9937 0.2649  1 B 1.38
Pb: 0.5000 0.0000 0.5000  6 O 2.55-2.70
Fe: 0.2176 0.5483 0.1473  4 O 1.96-2.13
Fe: 0.7824 0.4517 0.8527  4 O 1.96-2.13

=====

PmFe2B2O7: relaxed, GGA+U.

Summary:
M_tot = 9.0 μB per cell
E_tot = -7.5226 eV per atom

Cell lengths 5.0022, 5.0022, 8.9758 Å; angles 73.82, 73.82, 60.00 degrees
Closest atoms and distances in Å follow each position.
Positions (direct):
Fe: 0.4287 0.4287 0.7140  4 O 1.82-2.02
Fe: 0.5713 0.5713 0.2860  4 O 1.82-2.02
O: 0.2868 0.9924 0.1749  1 B 1.39
O: 0.9924 0.5459 0.1749  1 B 1.39
O: 0.5000 0.5000 0.5000  2 Fe 1.82
O: 0.5459 0.2868 0.1749  1 B 1.39
O: 0.0076 0.7132 0.8251  1 B 1.39
O: 0.4541 0.0076 0.8251  1 B 1.39
O: 0.7132 0.4541 0.8251  1 B 1.39
Pm: 0.0000 0.0000 0.0000  6 O 2.39
B: 0.2734 0.2734 0.1797  3 O 1.39
B: 0.7266 0.7266 0.8203  3 O 1.39

=====

PmFeBO4: relaxed, GGA+U.

Summary:
M_tot = 8.0 μB per cell
E_tot = -7.3245 eV per atom

Cell lengths 5.8935, 5.9783, 5.9783 Å; angles 66.71, 60.47, 60.47 degrees
Closest atoms and distances in Å follow each position.
Positions (direct):
Fe: 0.5000 0.0000 0.5000  2 O 1.98
Fe: 0.0000 0.0000 0.5000  2 O 1.98
Pm: 0.0000 0.0000 0.0000  6 O 2.31-2.36
Pm: 0.0000 0.5000 0.5000  6 O 2.31-2.36
B: 0.6131 0.6369 0.1369  4 O 1.51-1.58
B: 0.3869 0.3631 0.8631  4 O 1.51-1.58
O: 0.2809 0.7554 0.2554  1 B 1.58
O: 0.7173 0.3427 0.2228  1 B 1.51
O: 0.7191 0.2446 0.7446  1 B 1.58
O: 0.7173 0.7228 0.8427  1 B 1.51
O: 0.7083 0.7554 0.2554  1 B 1.58
O: 0.2827 0.6573 0.7772  1 B 1.51
O: 0.2827 0.2772 0.1573  1 B 1.51
O: 0.2917 0.2446 0.7446  1 B 1.58

=====

PrFe3B4O12: relaxed, GGA+U.

Summary:
M_tot = 15.0 μB per cell
E_tot = -7.6311 eV per atom

Cell lengths 6.1655, 6.1655, 6.1655 Å; angles 103.74, 103.74, 103.74 degrees
Closest atoms and distances in Å follow each position.
Positions (direct):
B: 0.0539 0.5000 0.9461  3 O 1.38-1.39
B: 0.5000 0.9461 0.0539  3 O 1.38-1.39
B: 0.9461 0.0539 0.5000  3 O 1.38-1.39
B: 0.5000 0.5000 0.5000  3 O 1.39
O: 0.5000 0.0895 0.9105  1 B 1.39
O: 0.6248 0.7886 0.0290  1 B 1.38
O: 0.6434 0.5000 0.3566  1 B 1.39
O: 0.9105 0.5000 0.0895  1 B 1.39
O: 0.3752 0.9710 0.2114  1 B 1.38
O: 0.9710 0.2114 0.3752  1 B 1.38
O: 0.3566 0.6434 0.5000  1 B 1.39
O: 0.0895 0.9105 0.5000  1 B 1.39
O: 0.7886 0.0290 0.6248  1 B 1.38
O: 0.2114 0.3752 0.9710  1 B 1.38
O: 0.0290 0.6248 0.7886  1 B 1.38
O: 0.5000 0.3566 0.6434  1 B 1.39
Pr: 0.0000 0.0000 0.0000  6 O 2.44
Fe: 0.4490 0.0000 0.5510  6 O 1.99-2.08
Fe: 0.5510 0.4490 0.0000  6 O 1.99-2.08
Fe: 0.0000 0.5510 0.4490  6 O 1.99-2.08

=====

PrFe2B2O7: relaxed, GGA+U.

Summary:
M_tot = 9.0 μB per cell
E_tot = -7.5130 eV per atom

Cell lengths 5.0331, 5.0331, 9.0332 Å; angles 73.82, 73.82, 60.00 degrees
Closest atoms and distances in Å follow each position.
Positions (direct):
O: 0.0095 0.7070 0.8236  1 B 1.39
O: 0.2930 0.9905 0.1764  1 B 1.39
O: 0.9905 0.5401 0.1764  1 B 1.39
O: 0.5401 0.2930 0.1764  1 B 1.39
O: 0.4599 0.0095 0.8236  1 B 1.39
O: 0.5000 0.5000 0.5000  2 Fe 1.82
O: 0.7070 0.4599 0.8236  1 B 1.39
Pr: 0.0000 0.0000 0.0000  6 O 2.43
Fe: 0.5709 0.5709 0.2873  4 O 1.82-2.02
Fe: 0.4291 0.4291 0.7127  4 O 1.82-2.02
B: 0.7272 0.7272 0.8184  3 O 1.39
B: 0.2728 0.2728 0.1816  3 O 1.39

=====

Rb2FeBO4: relaxed, GGA+U.

Summary:
M_tot = 10.0 μB per cell
E_tot = -5.9919 eV per atom

Cell lengths 4.6955, 6.2337, 10.9021 Å; angles 85.35, 77.56, 67.88 degrees
Closest atoms and distances in Å follow each position.
Positions (direct):
O: 0.2714 0.1513 0.9199  1 B 1.52
O: 0.5773 0.1513 0.0801  1 B 1.52
O: 0.3426 0.8487 0.0801  1 B 1.52
O: 0.8087 0.8487 0.9199  1 B 1.52
O: 0.1727 0.3487 0.4199  1 B 1.52
O: 0.9413 0.6513 0.5801  1 B 1.52
O: 0.4786 0.3487 0.5801  1 B 1.52
O: 0.4074 0.6513 0.4199  1 B 1.52
Fe: 0.0000 0.0000 0.0000  4 O 1.89
Fe: 0.7500 0.5000 0.5000  4 O 1.89
Rb: 0.8258 0.0000 0.3484  6 O 2.99-3.32
Rb: 0.1742 0.0000 0.6516  6 O 2.99-3.32
Rb: 0.9242 0.5000 0.1516  6 O 2.99-3.32
Rb: 0.5758 0.5000 0.8484  6 O 2.99-3.32
B: 0.2500 0.5000 0.5000  4 O 1.52
B: 0.5000 0.0000 0.0000  4 O 1.52

=====

RbFe2B2O6: relaxed, GGA+U.

Summary:
M_tot = 9.0 μB per cell
E_tot = -6.9522 eV per atom

Cell lengths 5.3254, 7.0541, 5.2063 Å; angles 108.99, 90.52, 68.36 degrees
Closest atoms and distances in Å follow each position.
Positions (direct):
O: 0.6021 0.2982 0.0534  1 B 1.42
O: 0.0298 0.6011 0.8399  1 B 1.39
O: 0.7988 0.2645 0.4680  1 B 1.36
O: 0.9702 0.3989 0.1601  1 B 1.39
O: 0.3979 0.7018 0.9466  1 B 1.42
O: 0.2012 0.7355 0.5320  1 B 1.36
Fe: 0.7619 0.4602 0.8367  4 O 1.93-2.08
Fe: 0.2381 0.5398 0.1633  4 O 1.93-2.08
Rb: 0.5000 0.0000 0.5000  4 O 2.90-3.15
B: 0.2041 0.6838 0.7619  3 O 1.36-1.42
B: 0.7959 0.3162 0.2381  3 O 1.36-1.42

=====

Fe2BRhO: relaxed, GGA+U.

Summary:
M_tot = 6.5 μB per cell
E_tot = -4.8358 eV per atom

Cell lengths 5.0001, 3.6433, 5.0001 Å; angles 90.00, 90.00, 90.00 degrees
Closest atoms and distances in Å follow each position.
Positions (direct):
Fe: 0.5000 0.0000 0.0000  2 Rh 2.50
Fe: 0.0000 0.0000 0.5000  2 Rh 2.50
Rh: 0.0000 0.0000 0.0000  2 O 1.82
O: 0.0000 0.5000 0.0000  2 Rh 1.82
B: 0.5000 0.5000 0.5000  8 Fe 3.09

=====

ScFe2B2O6: relaxed, GGA+U.

Summary:
M_tot = 7.5 μB per cell
E_tot = -7.5915 eV per atom

Cell lengths 5.0605, 5.0605, 6.2159 Å; angles 90.00, 90.00, 120.00 degrees
Closest atoms and distances in Å follow each position.
Positions (direct):
O: 0.6967 0.6215 0.2092  1 B 1.39
O: 0.6215 0.9248 0.7908  1 B 1.39
O: 0.3033 0.3785 0.7908  1 B 1.39
O: 0.3785 0.0752 0.2092  1 B 1.39
O: 0.9248 0.3033 0.2092  1 B 1.39
O: 0.0752 0.6967 0.7908  1 B 1.39
Sc: 0.0000 0.0000 0.0000  6 O 2.19
B: 0.3333 0.6667 0.7903  3 O 1.39
B: 0.6667 0.3333 0.2097  3 O 1.39
Fe: 0.6667 0.3333 0.7301  3 O 2.00
Fe: 0.3333 0.6667 0.2699  3 O 2.00

=====

SrFeBO4: relaxed, GGA+U.

Summary:
M_tot = 10.1 μB per cell
E_tot = -6.9205 eV per atom

Cell lengths 5.5045, 5.5045, 6.0922 Å; angles 90.00, 90.00, 110.66 degrees
Closest atoms and distances in Å follow each position.
Positions (direct):
Fe: 0.8619 0.1381 0.2500  4 O 1.93-1.96
Fe: 0.1381 0.8619 0.7500  4 O 1.93-1.96
O: 0.7749 0.2251 0.5437  1 B 1.49
O: 0.2251 0.7749 0.4563  1 B 1.49
O: 0.8384 0.7797 0.2500  1 B 1.54
O: 0.2251 0.7749 0.0437  1 B 1.49
O: 0.7797 0.8384 0.7500  1 B 1.54
O: 0.7749 0.2251 0.9563  1 B 1.49
O: 0.2203 0.1616 0.2500  1 B 1.54
O: 0.1616 0.2203 0.7500  1 B 1.54
Sr: 0.5000 0.5000 0.5000  6 O 2.48-2.50
Sr: 0.5000 0.5000 0.0000  6 O 2.48-2.50
B: 0.8640 0.1360 0.7500  4 O 1.49-1.54
B: 0.1360 0.8640 0.2500  4 O 1.49-1.54

=====

SrFe2B2O6: relaxed, GGA+U.

Summary:
M_tot = 8.0 μB per cell
E_tot = -7.2734 eV per atom

Cell lengths 5.5472, 6.1440, 5.2845 Å; angles 117.69, 85.75, 74.74 degrees
Closest atoms and distances in Å follow each position.
Positions (direct):
O: 0.1570 0.4793 0.7718  1 B 1.42
O: 0.5910 0.2580 0.9993  1 B 1.39
O: 0.8430 0.5207 0.2282  1 B 1.42
O: 0.7566 0.2412 0.4045  1 B 1.37
O: 0.4090 0.7420 0.0007  1 B 1.39
O: 0.2434 0.7588 0.5955  1 B 1.37
Fe: 0.7920 0.4635 0.8094  4 O 1.99-2.15
Fe: 0.2080 0.5365 0.1906  4 O 1.99-2.15
Sr: 0.5000 0.0000 0.5000  6 O 2.48-2.66
B: 0.7319 0.3319 0.2123  3 O 1.37-1.42
B: 0.2681 0.6681 0.7877  3 O 1.37-1.42

=====

TbFeBO4: relaxed, GGA+U.

Summary:
M_tot = 8.0 μB per cell
E_tot = -7.4117 eV per atom

Cell lengths 5.8149, 5.8848, 5.8848 Å; angles 62.96, 60.39, 60.39 degrees
Closest atoms and distances in Å follow each position.
Positions (direct):
B: 0.3839 0.3661 0.8661  4 O 1.53-1.57
B: 0.6161 0.6339 0.1339  4 O 1.53-1.57
Fe: 0.0000 0.0000 0.5000  6 O 2.12-2.31
Fe: 0.5000 0.0000 0.5000  6 O 2.12-2.31
O: 0.2747 0.2661 0.1844  1 B 1.57
O: 0.7063 0.2573 0.7573  1 B 1.53
O: 0.2747 0.6844 0.7661  1 B 1.57
O: 0.2937 0.7427 0.2427  1 B 1.53
O: 0.7253 0.3156 0.2339  1 B 1.57
O: 0.7253 0.7339 0.8156  1 B 1.57
O: 0.7208 0.7427 0.2427  1 B 1.53
O: 0.2792 0.2573 0.7573  1 B 1.53
Tb: 0.0000 0.0000 0.0000  6 O 2.26-2.27
Tb: 0.0000 0.5000 0.5000  6 O 2.26-2.27